# LiZn2Pb, optimized geometry, DFT PBE
# E_tot	-2.0352	eV/atom
# ΔH_f (0 K)	0.01	eV/atom
data_LiZn2Pb
_chemical_formula_sum 'Li1 Zn2 Pb1'
_space_group_name_H-M_alt 'P 1 2/m 1'
_space_group_IT_number 10
_space_group_name_Hall '-P 2y'
_cell_length_a 3.3725
_cell_length_b 4.8014
_cell_length_c 5.0345
_cell_angle_alpha 90.00
_cell_angle_beta 94.39
_cell_angle_gamma 90.00
loop_
_atom_site_label
_atom_site_type_symbol
_atom_site_fract_x
_atom_site_fract_y
_atom_site_fract_z
Li1 Li 0.0000 0.0000 0.0000
Zn1 Zn 0.2800 0.5000 0.2030
Pb1 Pb 0.5000 0.0000 0.5000

# Li8ZnPb2, optimized geometry, DFT PBE
# E_tot	-2.3942	eV/atom
# ΔH_f (0 K)	-0.21	eV/atom
data_Li8ZnPb2
_chemical_formula_sum 'Li16 Zn2 Pb4'
_space_group_name_H-M_alt 'C 1 2/m 1'
_space_group_IT_number 12
_space_group_name_Hall '-C 2y'
_cell_length_a 15.4113
_cell_length_b 4.8022
_cell_length_c 6.3037
_cell_angle_alpha 90.00
_cell_angle_beta 114.06
_cell_angle_gamma 90.00
loop_
_atom_site_label
_atom_site_type_symbol
_atom_site_fract_x
_atom_site_fract_y
_atom_site_fract_z
Li1 Li 0.0001 0.0000 0.2373
Li2 Li 0.1504 0.5000 0.3870
Li3 Li 0.1498 0.5000 0.9142
Li4 Li 0.1770 0.0000 0.6776
Zn1 Zn 0.0000 0.5000 0.5000
Pb1 Pb 0.1809 0.0000 0.1807

Across the entries above, DOS(E_F) takes the values 0.331; 0.288 states/eV per atom, respectively.